[1]
Sc2BeCo: optimized geometry, PBE.

Computed properties:
* total energy: -5.98 eV/atom
* space-group type: P4mm, No. 99
* density of states at the Fermi level: 3.3 states/eV/f.u.
* energy relative to the elements: -0.107 eV per atom
* magnetic moment: 0.73 Bohr magnetons per cell

Cell: 3.036 3.036 7.006 Å, 90.00 90.00 90.00°
Atoms (fractional coordinates):
Be 0.000 0.000 0.564
Co 0.500 0.500 0.682
Sc 0.500 0.500 0.318
Sc 0.000 0.000 0.936

---

[2]
Sc4BeCo: optimized geometry, PBE.

Computed properties:
* total energy: -6.00 eV/atom
* energy above the most stable polymorph in this dataset: 0.00 eV per formula unit
* space-group type: P2_1/c, No. 14
* density of states at the Fermi level: 7.3 states/eV/f.u.
* energy relative to the elements: 0.027 eV per atom
* magnetic moment: 0.00 Bohr magnetons per cell

Cell: 6.131 6.297 6.340 Å, 90.00 92.10 90.00°
Atoms (fractional coordinates):
Be 0.500 0.500 0.000
Be 0.000 0.000 0.000
Sc 0.673 0.656 0.659
Sc 0.173 0.844 0.659
Sc 0.859 0.655 0.174
Sc 0.141 0.345 0.826
Sc 0.359 0.845 0.174
Sc 0.327 0.344 0.341
Sc 0.641 0.155 0.826
Sc 0.827 0.156 0.341
Co 0.500 0.000 0.500
Co 0.000 0.500 0.500

---

[3]
Sc2BeCo3: optimized geometry, PBE.

Computed properties:
* total energy: -6.63 eV/atom
* space-group type: R-3m, No. 166
* density of states at the Fermi level: 7.3 states/eV/f.u.
* energy relative to the elements: -0.341 eV per atom
* magnetic moment: 1.05 Bohr magnetons per cell

Cell: 4.955 4.955 4.664 Å, 90.00 122.09 120.00°
Atoms (fractional coordinates):
Sc 0.256 0.628 0.883
Sc 0.744 0.372 0.117
Co 0.500 0.500 0.500
Co 0.000 0.000 0.500
Co 0.500 0.000 0.500
Be 0.000 0.000 0.000

---

[4]
Sc2BeCo: optimized geometry, PBE.

Computed properties:
* total energy: -5.97 eV/atom
* space-group type: Cm, No. 8
* density of states at the Fermi level: 3.9 states/eV/f.u.
* energy relative to the elements: -0.092 eV per atom
* magnetic moment: 0.27 Bohr magnetons per cell

Cell: 5.186 5.186 4.439 Å, 71.65 71.65 33.78°
Atoms (fractional coordinates):
Sc 0.979 0.979 0.045
Sc 0.770 0.770 0.706
Be 0.541 0.541 0.492
Co 0.209 0.209 0.257

---

[5]
ScBeCo2: optimized geometry, PBE.

Computed properties:
* total energy: -5.87 eV/atom
* space-group type: I-42d, No. 122
* density of states at the Fermi level: 2.9 states/eV/f.u.
* energy relative to the elements: 0.194 eV per atom
* magnetic moment: 1.84 Bohr magnetons per cell

Cell: 3.807 3.807 8.202 Å, 76.58 76.58 90.00°
Atoms (fractional coordinates):
Co 0.375 0.772 0.750
Co 0.875 0.478 0.750
Co 0.522 0.625 0.250
Co 0.228 0.125 0.250
Be 0.250 0.750 0.500
Be 0.500 0.500 0.000
Sc 0.000 0.000 0.000
Sc 0.750 0.250 0.500

---

[6]
ScBeCo: optimized geometry, PBE.

Computed properties:
* total energy: -5.92 eV/atom
* energy above the most stable polymorph in this dataset: 0.31 eV per formula unit
* space-group type: I4mm, No. 107
* density of states at the Fermi level: 2.0 states/eV/f.u.
* energy relative to the elements: -0.197 eV per atom
* magnetic moment: 0.00 Bohr magnetons per cell

Cell: 4.979 4.979 2.945 Å, 72.80 72.81 34.40°
Atoms (fractional coordinates):
Sc 0.671 0.671 0.329
Co 0.364 0.364 0.636
Be 0.965 0.965 0.035